{"formula": "MgInRe2", "functional": "GGA-PBE", "state": "relaxed", "spacegroup": "No. 44", "ef_ev_per_atom": 0.3474, "e_tot_ev_per_atom": -6.9599, "total_magnetization_mub_per_atom": 0.00, "lattice_angstrom": [[-2.2491, 2.2739, 3.2226], [2.2491, -2.2739, 3.2226], [2.2491, 2.2739, -3.2226]], "species": ["Mg", "In", "Re", "Re"], "frac_coords": [[0.0000, 0.0000, 0.0000], [0.2518, 0.7518, 0.5000], [0.5045, 0.5045, 0.0000], [0.7478, 0.2478, 0.5000]]}

{"formula": "Tm2LuCu", "functional": "GGA-PBE", "state": "relaxed", "spacegroup": "No. 123", "ef_ev_per_atom": -0.1074, "e_tot_ev_per_atom": -4.4975, "total_magnetization_mub_per_atom": 0.00, "lattice_angstrom": [[3.4247, 0.0000, 0.0000], [0.0000, 3.4247, 0.0000], [0.0000, 0.0000, 8.5362]], "species": ["Tm", "Tm", "Lu", "Cu"], "frac_coords": [[0.0000, 0.0000, 0.2004], [0.0000, 0.0000, 0.7996], [0.5000, 0.5000, 0.5000], [0.5000, 0.5000, 0.0000]]}

{"formula": "Sm2FePt", "functional": "GGA-PBE", "state": "relaxed", "spacegroup": "No. 123", "ef_ev_per_atom": -0.4288, "e_tot_ev_per_atom": -6.4142, "total_magnetization_mub_per_atom": 0.31, "lattice_angstrom": [[3.5391, 0.0000, 0.0000], [0.0000, 3.5391, 0.0000], [0.0000, 0.0000, 6.9690]], "species": ["Sm", "Sm", "Fe", "Pt"], "frac_coords": [[0.0000, 0.0000, 0.2463], [0.0000, 0.0000, 0.7537], [0.5000, 0.5000, 0.0000], [0.5000, 0.5000, 0.5000]]}

{"formula": "TiBiBr2", "functional": "GGA-PBE", "state": "relaxed", "spacegroup": "No. 166", "e_tot_ev_per_atom": -4.3851, "total_magnetization_mub_per_atom": 0.00, "formation_energy_uncorrected_mev_per_atom": -605, "lattice_angstrom": [[1.7087, 0.9865, 11.7693], [-1.7087, 0.9865, 11.7693], [0.0000, -1.9730, 11.7693]], "species": ["Ti", "Bi", "Br", "Br"], "frac_coords": [[0.0000, 0.0000, 0.0000], [0.5000, 0.5000, 0.5000], [0.3821, 0.3821, 0.3821], [0.6179, 0.6179, 0.6179]]}